Entry 1:
The following is a DFT calculation (PBE) of crystalline Ce3Al at its relaxed geometry.

Values from the calculation:
- DOS at the Fermi energy: 2.83 states/eV/atom
- Volume: 24.98 Å³/atom
- Crystal system: tetragonal
- Energy of formation from the pure elements: -0.649 eV per formula unit
- Space group: I4/mmm, No. 139
- Final energy: -5.548 eV per atom
- Excess energy over the best structure of this formula in the dataset: 0 meV per atom

Lattice parameters (Å, degrees): 4.618 4.618 5.711 113.85 113.85 90.00
Element x y z (fractional)
Ce: 0.500 0.500 0.000
Ce: 0.250 0.750 0.500
Ce: 0.750 0.250 0.500
Al: 0.000 0.000 0.000

Entry 2:
The following is a DFT calculation (PBE) of crystalline TbDyB12 at its relaxed geometry.

Values from the calculation:
- DOS at the Fermi energy: 0.10 states/eV/atom
- Volume: 9.82 Å³/atom
- Crystal system: tetragonal
- Energy of formation from the pure elements: -5.714 eV per formula unit
- Space group: P4/mmm, No. 123
- Final energy: -6.791 eV per atom

Lattice parameters (Å, degrees): 4.096 4.096 8.197 90.00 90.00 90.00
Element x y z (fractional)
B: 0.500 0.500 0.099
B: 0.500 0.199 0.750
B: 0.199 0.500 0.750
B: 0.500 0.199 0.250
B: 0.801 0.500 0.250
B: 0.500 0.500 0.401
B: 0.500 0.500 0.901
B: 0.199 0.500 0.250
B: 0.500 0.801 0.750
B: 0.500 0.801 0.250
B: 0.801 0.500 0.750
B: 0.500 0.500 0.599
Dy: 0.000 0.000 0.000
Tb: 0.000 0.000 0.500